(1)
A plane-wave DFT calculation with PBE was carried out for a geometry-optimized Tm2ThNi2 structure.

Output
Formation energy from the elements   -0.3625 eV per atom
V   22.6 Å³ per atom
Magnetization   0.00 μB per atom
Polymorph energy (0 for the lowest one)   0.0000 eV per atom

Cell lengths 5.866, 6.243, 7.094 Å; angles 98.81, 90.00, 118.02 degrees
Fractional positions:
Ni1 0.713 0.676 0.485
Ni2 0.287 0.324 0.515
Tm1 0.233 0.681 0.345
Th1 0.100 0.000 0.750
Tm2 0.767 0.319 0.655
Ni3 0.038 0.324 0.015
Th2 0.900 0.000 0.250
Tm3 0.552 0.319 0.155
Ni4 0.962 0.676 0.985
Tm4 0.448 0.681 0.845

(2)
A plane-wave DFT calculation with PBE was carried out for a geometry-optimized TmTh2Ni9 structure.

Output
Formation energy from the elements   -0.4123 eV per atom
V   14.9 Å³ per atom
Magnetization   0.00 μB per atom
Polymorph energy (0 for the lowest one)   0.0000 eV per atom

Cell lengths 4.975, 4.975, 8.807 Å; angles 73.59, 73.59, 60.00 degrees
Fractional positions:
Ni1 0.419 0.419 0.242
Ni2 0.920 0.419 0.242
Ni3 0.667 0.667 0.999
Ni4 0.581 0.581 0.758
Ni5 0.500 0.500 0.500
Ni6 0.333 0.333 0.001
Tm1 0.000 0.000 0.000
Th1 0.136 0.136 0.593
Th2 0.864 0.864 0.407
Ni7 0.581 0.080 0.758
Ni8 0.080 0.581 0.758
Ni9 0.419 0.920 0.242

(3)
A plane-wave DFT calculation with PBE was carried out for a geometry-optimized Tm2ThNi6 structure.

Output
Formation energy from the elements   -0.4179 eV per atom
V   17.2 Å³ per atom
Magnetization   0.00 μB per atom
Polymorph energy (0 for the lowest one)   0.0000 eV per atom

Cell lengths 3.624, 7.020, 7.020 Å; angles 120.00, 90.00, 90.00 degrees
Fractional positions:
Ni1 0.500 0.335 0.000
Ni2 0.500 0.335 0.335
Tm1 0.000 0.667 0.333
Tm2 0.000 0.333 0.667
Ni3 0.500 0.665 0.000
Ni4 0.500 0.000 0.665
Ni5 0.500 0.000 0.335
Ni6 0.500 0.665 0.665
Th1 0.000 0.000 0.000

(4)
A plane-wave DFT calculation with PBE was carried out for a geometry-optimized Tm3ThNi structure.

Output
Formation energy from the elements   -0.0395 eV per atom
V   28.3 Å³ per atom
Magnetization   0.00 μB per atom

Cell lengths 5.210, 5.210, 5.210 Å; angles 90.00, 90.00, 90.00 degrees
Fractional positions:
Tm1 0.000 0.500 0.000
Ni1 0.000 0.000 0.000
Tm2 0.500 0.000 0.000
Th1 0.500 0.500 0.500
Tm3 0.000 0.000 0.500